1.
12
Lattice="-8.171 1.523 0.763 -0.314 -4.305 5.230 8.898 1.633 1.878" Properties=species:S:1:pos:R:3 comment="BeSbH PBE optimized geometry" relative_energy_mev_per_atom=49.5 pbc="T T T"
H -2.814 -0.320 4.612
H -7.106 1.016 1.058
H -3.131 -1.264 2.520
H 1.161 -2.599 6.075
Be 5.987 -0.992 4.845
Be 1.695 0.344 1.291
Be 1.810 -1.495 6.764
Be -2.482 -0.160 3.209
Sb -0.026 -0.180 2.993
Sb 4.266 -1.516 6.548
Sb 0.248 0.171 5.805
Sb -4.044 1.507 2.250



2.
4
Lattice="5.386 0.000 0.000 2.693 4.665 0.000 2.693 1.555 4.398" Properties=species:S:1:pos:R:3 comment="AcPuAlAu PBE optimized geometry" dos_ef_per_ev_atom=3.1382 dft_energy_ry_per_atom=-0.4869 pbc="T T T"
Au 0.000 0.000 0.000
Al 5.386 3.110 2.199
Pu 8.080 4.665 3.298
Ac 2.693 1.555 1.099



3.
4
Lattice="5.868 -0.009 0.250 4.687 3.531 0.250 2.429 0.810 5.670" Properties=species:S:1:pos:R:3 comment="TlTeAs2 PBE optimized geometry" relative_energy_mev_per_atom=107.7 dos_ef_per_ev_atom=0.3934 pbc="T T T"
Tl 9.443 3.151 4.739
As 3.395 1.133 1.106
As 10.374 3.461 1.400
Te 6.818 2.275 2.508



Magnetic moment: 0.0, 5.8, 0.0 (μB per cell)